1.
Material: Li2RhPb2
Method: DFT, PBE
State: relaxed

a = 7.313 Å, b = 7.313 Å, c = 3.698 Å
α = 90.00°, β = 90.00°, γ = 90.00°
Fractional positions:
Pb: 0.153 0.347 0.000
Pb: 0.847 0.653 0.000
Pb: 0.347 0.847 0.000
Pb: 0.653 0.153 0.000
Li: 0.847 0.347 0.500
Li: 0.153 0.653 0.500
Li: 0.653 0.847 0.500
Li: 0.347 0.153 0.500
Rh: 0.000 0.000 0.000
Rh: 0.500 0.500 0.000

Summary:
- energy of formation (eV per atom) = -0.09
- SG = P4/mbm (127)
- calculated volume (Å³ per atom) = 19.8
- total moment (Bohr magnetons per cell) = 0.0
- density of states at the Fermi level (states/eV/f.u.) = 1.0

2.
Material: LiRh2Pb
Method: DFT, PBE
State: relaxed

a = 5.299 Å, b = 5.299 Å, c = 2.961 Å
α = 75.53°, β = 75.53°, γ = 115.43°
Fractional positions:
Li: 0.500 0.000 0.500
Rh: 0.500 0.500 0.000
Rh: 0.000 0.000 0.000
Pb: 0.000 0.500 0.500

Summary:
- energy of formation (eV per atom) = 0.01
- SG = C2/m (12)
- calculated volume (Å³ per atom) = 16.6
- total moment (Bohr magnetons per cell) = 0.0
- density of states at the Fermi level (states/eV/f.u.) = 2.3

3.
Material: LiRh2Pb
Method: DFT, PBE
State: relaxed

a = 3.999 Å, b = 3.999 Å, c = 9.400 Å
α = 77.72°, β = 77.72°, γ = 90.00°
Fractional positions:
Li: 0.500 0.500 0.000
Li: 0.250 0.750 0.500
Pb: 0.750 0.250 0.500
Pb: 0.000 0.000 0.000
Rh: 0.375 0.431 0.750
Rh: 0.181 0.625 0.250
Rh: 0.569 0.125 0.250
Rh: 0.875 0.819 0.750

Summary:
- energy of formation (eV per atom) = 0.17
- SG = I-42d (122)
- calculated volume (Å³ per atom) = 17.9
- total moment (Bohr magnetons per cell) = 0.0
- density of states at the Fermi level (states/eV/f.u.) = 2.6